[1]
Li2Ca2PmSn2 | GGA-PBE | relaxed

Cell lengths 4.8747, 4.8747, 9.6260 Å; angles 75.33, 75.33, 60.00 degrees
Site moments in Bohr magnetons follow the coordinates.
Fractional positions:
Sn: 0.2635 0.2635 0.2095  -0.01
Sn: 0.7365 0.7365 0.7905  -0.01
Li: 0.4001 0.4001 0.7998  0.01
Li: 0.5999 0.5999 0.2002  0.01
Ca: 0.1288 0.1288 0.6136  0.06
Ca: 0.8712 0.8712 0.3864  0.06
Pm: 0.0000 0.0000 0.0000  0.11

Computed properties:
calculated density	4.18	g cm⁻³
spin magnetization	0.815	μB/cell
calculated volume	27.062	Å³/atom
crystal system	trigonal
E_form	-0.51	eV per atom
density of states at the Fermi level	0.416	states/eV per atom
symmetry	R-3m

---

[2]
LiCaPmSn | GGA-PBE | relaxed

Cell lengths 5.3685, 5.3685, 5.3685 Å; angles 60.00, 60.00, 60.00 degrees
Fractional positions:
Ca: 0.5000 0.5000 0.5000
Li: 0.2500 0.2500 0.2500
Sn: 0.7500 0.7500 0.7500
Pm: 0.0000 0.0000 0.0000

Computed properties:
calculated density	4.72	g cm⁻³
spin magnetization	0.000	μB/cell
calculated volume	27.352	Å³/atom
crystal system	cubic
E_form	-0.44	eV per atom
density of states at the Fermi level	0.692	states/eV per atom
symmetry	F-43m

---

[3]
SrLiCaPm | GGA-PBE | relaxed

Cell lengths 5.9664, 5.9664, 5.9664 Å; angles 60.00, 60.00, 60.00 degrees
Fractional positions:
Li: 0.0000 0.0000 0.0000
Ca: 0.5000 0.5000 0.5000
Sr: 0.2500 0.2500 0.2500
Pm: 0.7500 0.7500 0.7500

Computed properties:
calculated density	3.09	g cm⁻³
spin magnetization	0.000	μB/cell
calculated volume	37.546	Å³/atom
crystal system	cubic
E_form	0.21	eV per atom
density of states at the Fermi level	1.567	states/eV per atom
symmetry	F-43m

---

[4]
LiCa4Pm3Te8 | GGA-PBE | relaxed

Cell lengths 8.9242, 8.9703, 8.9243 Å; angles 119.83, 120.00, 90.00 degrees
Fractional positions:
Te: 0.7537 0.2533 0.9996
Te: 0.2464 0.7468 0.4928
Te: 0.2493 0.2478 0.4986
Te: 0.7507 0.7522 0.5014
Te: 0.2459 0.2533 0.9996
Te: 0.7541 0.7467 0.0004
Te: 0.2463 0.7467 0.0004
Te: 0.7536 0.2532 0.5072
Ca: 0.5000 0.0000 0.0000
Ca: 0.0000 0.0000 0.0000
Ca: 0.5000 0.0000 0.5000
Ca: 0.0000 0.0000 0.5000
Li: 0.0000 0.5000 0.0000
Pm: 0.5000 0.5000 0.5000
Pm: 0.0000 0.5000 0.5000
Pm: 0.5000 0.5000 0.0000

Computed properties:
calculated density	5.32	g cm⁻³
spin magnetization	0.000	μB/cell
calculated volume	31.654	Å³/atom
crystal system	trigonal
raw formation energy	-1.494	eV per atom
density of states at the Fermi level	0.260	states/eV per atom
symmetry	R-3m

---

Look up the spin magnetization of the first one. 0.815 μB/cell